{"formula": "LaCeMg2", "functional": "PBE", "state": "relaxed", "lattice": [[1.635, 0.944, 11.915], [-1.635, 0.944, 11.915], [0.000, -1.888, 11.915]], "species": ["La", "Ce", "Mg", "Mg"], "frac_coords": [[0.000, 0.000, 0.000], [0.500, 0.500, 0.500], [0.249, 0.249, 0.249], [0.751, 0.751, 0.751]], "spacegroup": "R-3m, No. 166", "e_form_ev_per_atom": 0.070, "magnetic_moment_mub_per_fu": 0.49, "vol_a3_per_atom": 27.57, "polymorph_energy_mev_per_atom": 78.7}